{"formula": "Ba3Sb2Pd4Pb2", "functional": "PBE-GGA", "state": "optimized geometry", "raw_formation_energy_mev_per_atom": -648, "crystal_system": "trigonal", "lattice": [[4.7735, 0.0000, 0.0000], [-2.3868, 4.1340, 0.0000], [0.0000, 0.0000, 16.5104]], "species": ["Ba", "Ba", "Ba", "Sb", "Sb", "Pd", "Pd", "Pd", "Pd", "Pb", "Pb"], "fractional_positions": [[0.0000, 0.0000, 0.7233], [0.0000, 0.0000, 0.0000], [0.0000, 0.0000, 0.2767], [0.6667, 0.3333, 0.8528], [0.3333, 0.6667, 0.1472], [0.6667, 0.3333, 0.1396], [0.3333, 0.6667, 0.8604], [0.6667, 0.3333, 0.6028], [0.3333, 0.6667, 0.3972], [0.6667, 0.3333, 0.4355], [0.3333, 0.6667, 0.5645]]}

---

{"formula": "BaSbPd3Pb", "functional": "PBE-GGA", "state": "optimized geometry", "raw_formation_energy_mev_per_atom": -407, "crystal_system": "orthorhombic", "lattice": [[6.6556, 0.0000, 0.0000], [0.0000, 6.9848, 0.0000], [0.0000, -3.4924, 7.2487]], "species": ["Ba", "Ba", "Sb", "Sb", "Pd", "Pd", "Pd", "Pd", "Pd", "Pd", "Pb", "Pb"], "fractional_positions": [[0.7500, 0.2616, 0.5232], [0.2500, 0.7384, 0.4768], [0.2500, 0.0370, 0.0739], [0.7500, 0.9630, 0.9261], [0.2500, 0.2122, 0.4243], [0.0000, 0.2843, 0.0000], [0.5000, 0.7157, 0.0000], [0.5000, 0.2843, 0.0000], [0.0000, 0.7157, 0.0000], [0.7500, 0.7878, 0.5757], [0.2500, 0.3939, 0.7878], [0.7500, 0.6061, 0.2122]]}

---

{"formula": "BaSb2Pd5Pb", "functional": "PBE-GGA", "state": "optimized geometry", "raw_formation_energy_mev_per_atom": -409, "crystal_system": "tetragonal", "lattice": [[4.4597, 0.0000, 0.0000], [0.0000, 4.4597, 0.0000], [0.0000, 0.0000, 11.3335]], "species": ["Ba", "Sb", "Sb", "Pd", "Pd", "Pd", "Pd", "Pd", "Pb"], "fractional_positions": [[0.0000, 0.0000, 0.5000], [0.5000, 0.5000, 0.2731], [0.5000, 0.5000, 0.7269], [0.0000, 0.5000, 0.1491], [0.5000, 0.0000, 0.1491], [0.0000, 0.5000, 0.8509], [0.5000, 0.0000, 0.8509], [0.5000, 0.5000, 0.5000], [0.0000, 0.0000, 0.0000]]}

---

{"formula": "BaSbPd2Pb2", "functional": "PBE-GGA", "state": "optimized geometry", "raw_formation_energy_mev_per_atom": -352, "crystal_system": "tetragonal", "lattice": [[-1.0948, 4.9024, 0.9840], [-0.0072, -1.0089, 5.0183], [6.6702, 1.4299, 0.2970]], "species": ["Ba", "Sb", "Pd", "Pd", "Pb", "Pb"], "fractional_positions": [[0.0000, 0.0000, 0.5000], [0.0000, 0.0000, 0.0000], [0.5000, 0.0000, 0.0000], [0.0000, 0.5000, 0.0000], [0.5000, 0.5000, 0.7551], [0.5000, 0.5000, 0.2449]]}

---

{"formula": "Ba2SnPdPb6", "functional": "PBE-GGA", "state": "optimized geometry", "e_form_ev_per_atom": -0.23, "crystal_system": "trigonal", "lattice": [[-4.5332, -2.4445, 5.4525], [-6.8489, -2.5541, -1.6806], [1.5282, -14.9352, -0.2667]], "species": ["Ba", "Ba", "Ba", "Ba", "Sn", "Sn", "Pd", "Pd", "Pb", "Pb", "Pb", "Pb", "Pb", "Pb", "Pb", "Pb", "Pb", "Pb", "Pb", "Pb"], "fractional_positions": [[0.8864, 0.8864, 0.3407], [0.1136, 0.1136, 0.6593], [0.7170, 0.7170, 0.8492], [0.2831, 0.2831, 0.1509], [0.5739, 0.5739, 0.2783], [0.4261, 0.4261, 0.7217], [0.0000, 0.0000, 0.0000], [0.5000, 0.5000, 0.5000], [0.9140, 0.3399, 0.4062], [0.3399, 0.9140, 0.4062], [0.3399, 0.3399, 0.4062], [0.0860, 0.6601, 0.5938], [0.6601, 0.0860, 0.5938], [0.6601, 0.6601, 0.5938], [0.6599, 0.2199, 0.9002], [0.2199, 0.6599, 0.9002], [0.2199, 0.2199, 0.9002], [0.3401, 0.7801, 0.0998], [0.7801, 0.3401, 0.0998], [0.7801, 0.7801, 0.0998]]}

---

{"formula": "BaSnPdPb2", "functional": "PBE-GGA", "state": "optimized geometry", "e_form_ev_per_atom": -0.05, "crystal_system": "tetragonal", "lattice": [[-2.4303, 2.5461, 4.7158], [2.1940, -3.4617, 2.9997], [4.7180, 3.4725, 0.5565]], "species": ["Pb", "Pb", "Ba", "Pd", "Sn"], "fractional_positions": [[0.0000, 0.0000, 0.5000], [0.5000, 0.0000, 0.0000], [0.5000, 0.5000, 0.5000], [0.0000, 0.5000, 0.0000], [0.0000, 0.0000, 0.0000]]}

---

Fermi-level density of states list, top to bottom, in states/eV/cell: 4.96 5.07 5.51 4.79 13.58 4.51